Density functional theory data (PBE) for a relaxed TeAs2 crystal.

```
TeAs2
1.0
-3.560 3.560 2.911
3.560 -3.560 2.911
3.560 3.560 -2.911
Te As
2 4
Cartesian
3.560 1.780 0.728
0.000 1.780 2.183
0.000 0.000 0.000
1.780 1.780 -1.455
1.780 -1.780 1.455
0.000 3.560 0.000
```

Properties
The energy is -3.95 eV/atom. For the calculated volume, the calculation gives 24.6 Å³ per atom. Its crystal system is tetragonal. As for the total magnetic moment: 0.0 μB per formula unit.